(1)
# ReAgPt2, relaxed, DFT GGA-PBE
data_ReAgPt2
_chemical_formula_sum 'Re1 Ag1 Pt2'
_space_group_name_H-M_alt 'P 4/m m m'
_space_group_IT_number 123
_space_group_name_Hall '-P 4 2'
_cell_length_a 3.991
_cell_length_b 3.991
_cell_length_c 3.962
_cell_angle_alpha 90.00
_cell_angle_beta 90.00
_cell_angle_gamma 90.00
loop_
_atom_site_label
_atom_site_type_symbol
_atom_site_fract_x
_atom_site_fract_y
_atom_site_fract_z
Re1 Re 0.000 0.000 0.000
Ag1 Ag 0.500 0.500 0.000
Pt1 Pt 0.000 0.500 0.500
# * DOS(E_F): 5.59 states/eV/cell
# * energy above the most stable polymorph in this dataset: 0.5382 eV/atom
# * energy relative to the elements: 0.446 eV/atom
# * total DFT energy (no corrections): -6.399 eV per atom

(2)
# Re2AgPt, relaxed, DFT GGA-PBE
data_Re2AgPt
_chemical_formula_sum 'Re4 Ag2 Pt2'
_space_group_name_H-M_alt 'C m m m'
_space_group_IT_number 65
_space_group_name_Hall '-C 2 2'
_cell_length_a 5.411
_cell_length_b 8.494
_cell_length_c 2.700
_cell_angle_alpha 90.00
_cell_angle_beta 90.00
_cell_angle_gamma 90.00
loop_
_atom_site_label
_atom_site_type_symbol
_atom_site_fract_x
_atom_site_fract_y
_atom_site_fract_z
Re1 Re 0.250 0.250 0.000
Ag1 Ag 0.000 0.000 0.500
Pt1 Pt 0.000 0.500 0.500
# * DOS(E_F): 6.75 states/eV/cell
# * energy above the most stable polymorph in this dataset: 0.3585 eV/atom
# * energy relative to the elements: 0.455 eV/atom
# * total DFT energy (no corrections): -7.992 eV per atom

(3)
# Re2AgPt, relaxed, DFT GGA-PBE
data_Re2AgPt
_chemical_formula_sum 'Re2 Ag1 Pt1'
_space_group_name_H-M_alt 'P 4 m m'
_space_group_IT_number 99
_cell_length_a 2.801
_cell_length_b 2.801
_cell_length_c 8.042
_cell_angle_alpha 90.00
_cell_angle_beta 90.00
_cell_angle_gamma 90.00
loop_
_space_group_symop_operation_xyz
'x,y,z'
'-y,x,z'
'-x,-y,z'
'y,-x,z'
'-x,y,z'
'y,x,z'
'x,-y,z'
'-y,-x,z'
loop_
_atom_site_label
_atom_site_type_symbol
_atom_site_fract_x
_atom_site_fract_y
_atom_site_fract_z
Re1 Re 0.000 0.000 0.000
Re2 Re 0.500 0.500 0.223
Ag1 Ag 0.000 0.000 0.492
Pt1 Pt 0.500 0.500 0.759
# * DOS(E_F): 2.89 states/eV/cell
# * energy above the most stable polymorph in this dataset: 0.0661 eV/atom
# * energy relative to the elements: 0.163 eV/atom
# * total DFT energy (no corrections): -8.284 eV per atom

(4)
# Re2AgPt, relaxed, DFT GGA-PBE
data_Re2AgPt
_chemical_formula_sum 'Re2 Ag1 Pt1'
_space_group_name_H-M_alt 'P 1 m 1'
_space_group_IT_number 6
_cell_length_a 2.777
_cell_length_b 3.967
_cell_length_c 5.715
_cell_angle_alpha 90.00
_cell_angle_beta 91.62
_cell_angle_gamma 90.00
loop_
_space_group_symop_operation_xyz
'x,y,z'
'x,-y,z'
loop_
_atom_site_label
_atom_site_type_symbol
_atom_site_fract_x
_atom_site_fract_y
_atom_site_fract_z
Re1 Re 0.000 0.000 0.000
Re2 Re 0.397 0.500 0.213
Ag1 Ag 0.941 0.000 0.488
Pt1 Pt 0.445 0.500 0.738
# * DOS(E_F): 3.66 states/eV/cell
# * energy above the most stable polymorph in this dataset: 0.1493 eV/atom
# * energy relative to the elements: 0.246 eV/atom
# * total DFT energy (no corrections): -8.201 eV per atom

(5)
# ReAgPt2, relaxed, DFT GGA-PBE
data_ReAgPt2
_chemical_formula_sum 'Re1 Ag1 Pt2'
_space_group_name_H-M_alt 'P 4 m m'
_space_group_IT_number 99
_cell_length_a 2.778
_cell_length_b 2.778
_cell_length_c 8.206
_cell_angle_alpha 90.00
_cell_angle_beta 90.00
_cell_angle_gamma 90.00
loop_
_space_group_symop_operation_xyz
'x,y,z'
'-y,x,z'
'-x,-y,z'
'y,-x,z'
'-x,y,z'
'y,x,z'
'x,-y,z'
'-y,-x,z'
loop_
_atom_site_label
_atom_site_type_symbol
_atom_site_fract_x
_atom_site_fract_y
_atom_site_fract_z
Re1 Re 0.000 0.000 0.000
Ag1 Ag 0.500 0.500 0.263
Pt1 Pt 0.000 0.000 0.522
Pt2 Pt 0.500 0.500 0.776
# * DOS(E_F): 3.17 states/eV/cell
# * energy above the most stable polymorph in this dataset: 0.2378 eV/atom
# * energy relative to the elements: 0.146 eV/atom
# * total DFT energy (no corrections): -6.699 eV per atom

(6)
# ReAgPt4, relaxed, DFT GGA-PBE
data_ReAgPt4
_chemical_formula_sum 'Re4 Ag4 Pt16'
_space_group_name_H-M_alt 'F -4 3 m'
_space_group_IT_number 216
_space_group_name_Hall 'F -4 2 3'
_cell_length_a 7.410
_cell_length_b 7.410
_cell_length_c 7.410
_cell_angle_alpha 90.00
_cell_angle_beta 90.00
_cell_angle_gamma 90.00
loop_
_atom_site_label
_atom_site_type_symbol
_atom_site_fract_x
_atom_site_fract_y
_atom_site_fract_z
Re1 Re 0.000 0.000 0.000
Ag1 Ag 0.250 0.250 0.750
Pt1 Pt 0.125 0.125 0.375
# * DOS(E_F): 21.96 states/eV/cell
# * energy above the most stable polymorph in this dataset: 0.4846 eV/atom
# * energy relative to the elements: 0.439 eV/atom
# * total DFT energy (no corrections): -6.138 eV per atom

(7)
# ReAgPt4, relaxed, DFT GGA-PBE
data_ReAgPt4
_chemical_formula_sum 'Re1 Ag1 Pt4'
_space_group_name_H-M_alt 'P m m m'
_space_group_IT_number 47
_cell_length_a 2.778
_cell_length_b 3.997
_cell_length_c 8.506
_cell_angle_alpha 90.00
_cell_angle_beta 90.00
_cell_angle_gamma 90.00
loop_
_space_group_symop_operation_xyz
'x,y,z'
'-x,-y,-z'
'-x,-y,z'
'x,y,-z'
'x,-y,-z'
'-x,y,z'
'-x,y,-z'
'x,-y,z'
loop_
_atom_site_label
_atom_site_type_symbol
_atom_site_fract_x
_atom_site_fract_y
_atom_site_fract_z
Re1 Re 0.000 0.000 0.000
Ag1 Ag 0.500 0.500 0.500
Pt1 Pt 0.000 0.000 0.321
Pt2 Pt 0.500 0.500 0.157
# * DOS(E_F): 4.12 states/eV/cell
# * energy above the most stable polymorph in this dataset: 0.0000 eV/atom
# * energy relative to the elements: -0.045 eV/atom
# * total DFT energy (no corrections): -6.623 eV per atom

(8)
# Re2AgPt, relaxed, DFT GGA-PBE
data_Re2AgPt
_chemical_formula_sum 'Re2 Ag1 Pt1'
_space_group_name_H-M_alt 'P 1 2/m 1'
_space_group_IT_number 10
_cell_length_a 2.699
_cell_length_b 4.231
_cell_length_c 5.469
_cell_angle_alpha 90.00
_cell_angle_beta 90.32
_cell_angle_gamma 90.00
loop_
_space_group_symop_operation_xyz
'x,y,z'
'-x,-y,-z'
'-x,y,-z'
'x,-y,z'
loop_
_atom_site_label
_atom_site_type_symbol
_atom_site_fract_x
_atom_site_fract_y
_atom_site_fract_z
Re1 Re 0.007 0.000 0.236
Ag1 Ag 0.500 0.500 0.500
Pt1 Pt 0.500 0.500 0.000
# * DOS(E_F): 3.41 states/eV/cell
# * energy above the most stable polymorph in this dataset: 0.3442 eV/atom
# * energy relative to the elements: 0.441 eV/atom
# * total DFT energy (no corrections): -8.006 eV per atom

Q: Look up the DOS(E_F) of the fourth one.
A: 3.66 states/eV/cell

Please write out number 2 again, unchanged.
# Re2AgPt, relaxed, DFT GGA-PBE
data_Re2AgPt
_chemical_formula_sum 'Re4 Ag2 Pt2'
_space_group_name_H-M_alt 'C m m m'
_space_group_IT_number 65
_space_group_name_Hall '-C 2 2'
_cell_length_a 5.411
_cell_length_b 8.494
_cell_length_c 2.700
_cell_angle_alpha 90.00
_cell_angle_beta 90.00
_cell_angle_gamma 90.00
loop_
_atom_site_label
_atom_site_type_symbol
_atom_site_fract_x
_atom_site_fract_y
_atom_site_fract_z
Re1 Re 0.250 0.250 0.000
Ag1 Ag 0.000 0.000 0.500
Pt1 Pt 0.000 0.500 0.500
# * DOS(E_F): 6.75 states/eV/cell
# * energy above the most stable polymorph in this dataset: 0.3585 eV/atom
# * energy relative to the elements: 0.455 eV/atom
# * total DFT energy (no corrections): -7.992 eV per atom

Q: The lowest energy relative to the elements belongs to which entry?
A: number 7

Q: DOS(E_F) of number 3 (Re2AgPt)?
A: 2.89 states/eV/cell